Record 1
## LaCd2HgIr (PBE-GGA)

Data for an optimized crystal structure of LaCd2HgIr.

Lattice parameters (Å, degrees): 5.3109 5.3109 5.3091 90.00 90.00 90.00
Last column: nearest neighbours and their distance in Å.
Positions (direct):
La  0.0000  0.0000  0.0000  2 Ir 2.65
Cd  0.0000  0.5000  0.5000  2 Ir 2.66
Cd  0.5000  0.0000  0.5000  2 Ir 2.66
Hg  0.5000  0.5000  0.0000  8 Cd 3.75, 4 La 3.76
Ir  0.0000  0.0000  0.5000  2 La 2.65, 4 Cd 2.66

Values from the calculation:
Space-group type: P4/mmm
E_form in eV per formula unit: -1.22

Record 2
## LiCdHgIr (PBE-GGA)

Data for an optimized crystal structure of LiCdHgIr.

Lattice parameters (Å, degrees): 6.5342 6.5342 6.5342 90.00 90.00 90.00
Last column: nearest neighbours and their distance in Å.
Positions (direct):
Li  0.0000  0.0000  0.0000  4 Cd 2.83, 4 Hg 2.83
Li  0.0000  0.5000  0.5000  4 Hg 2.83, 4 Cd 2.83
Li  0.5000  0.0000  0.5000  4 Hg 2.83, 4 Cd 2.83
Li  0.5000  0.5000  0.0000  4 Hg 2.83, 4 Cd 2.83
Cd  0.2500  0.2500  0.7500  4 Li 2.83, 4 Ir 2.83
Cd  0.2500  0.7500  0.2500  4 Li 2.83, 4 Ir 2.83
Cd  0.7500  0.2500  0.2500  4 Li 2.83, 4 Ir 2.83
Cd  0.7500  0.7500  0.7500  4 Ir 2.83, 4 Li 2.83
Hg  0.2500  0.2500  0.2500  4 Li 2.83, 4 Ir 2.83
Hg  0.2500  0.7500  0.7500  4 Li 2.83, 4 Ir 2.83
Hg  0.7500  0.2500  0.7500  4 Li 2.83, 4 Ir 2.83
Hg  0.7500  0.7500  0.2500  4 Li 2.83, 4 Ir 2.83
Ir  0.0000  0.0000  0.5000  4 Hg 2.83, 4 Cd 2.83
Ir  0.0000  0.5000  0.0000  4 Hg 2.83, 4 Cd 2.83
Ir  0.5000  0.0000  0.0000  4 Hg 2.83, 4 Cd 2.83
Ir  0.5000  0.5000  0.5000  4 Hg 2.83, 4 Cd 2.83

Values from the calculation:
Space-group type: F-43m
E_form in eV per formula unit: -0.22

Record 3
## Mg5Cd2HgIr2 (PBE-GGA)

Data for an optimized crystal structure of Mg5Cd2HgIr2.

Lattice parameters (Å, degrees): 9.9319 9.9319 4.0450 90.00 90.00 90.00
Last column: nearest neighbours and their distance in Å.
Positions (direct):
Mg  0.0000  0.5000  0.0000  4 Ir 2.64
Mg  0.0795  0.2091  0.0000  2 Ir 2.67, 1 Mg 2.97
Mg  0.2091  0.9205  0.0000  2 Ir 2.67, 1 Mg 2.97
Mg  0.2909  0.4205  0.0000  2 Ir 2.67, 1 Mg 2.97
Mg  0.4205  0.7091  0.0000  2 Ir 2.67, 1 Mg 2.97
Mg  0.5000  0.0000  0.0000  4 Ir 2.64
Mg  0.5795  0.2909  0.0000  2 Ir 2.67, 1 Mg 2.97
Mg  0.7091  0.5795  0.0000  2 Ir 2.67, 1 Mg 2.97
Mg  0.7909  0.0795  0.0000  2 Ir 2.67, 1 Mg 2.97
Mg  0.9205  0.7909  0.0000  2 Ir 2.67, 1 Mg 2.97
Cd  0.1724  0.6724  0.5000  3 Ir 2.91-2.95, 6 Mg 3.16-3.21
Cd  0.3276  0.1724  0.5000  3 Ir 2.91-2.95, 6 Mg 3.16-3.21
Cd  0.6724  0.8276  0.5000  3 Ir 2.91-2.95, 6 Mg 3.16-3.21
Cd  0.8276  0.3276  0.5000  3 Ir 2.91-2.95, 6 Mg 3.16-3.21
Hg  0.0000  0.0000  0.5000  8 Mg 3.00
Hg  0.5000  0.5000  0.5000  8 Mg 3.00
Ir  0.1203  0.3797  0.5000  6 Mg 2.64-2.67, 1 Cd 2.91
Ir  0.3797  0.8797  0.5000  6 Mg 2.64-2.67, 1 Cd 2.91
Ir  0.6203  0.1203  0.5000  6 Mg 2.64-2.67, 1 Cd 2.91
Ir  0.8797  0.6203  0.5000  6 Mg 2.64-2.67, 1 Cd 2.91

Values from the calculation:
Space-group type: P4/mbm
E_form in eV per formula unit: -1.85

Record 4
## CdHgMo2Ir (PBE-GGA)

Data for an optimized crystal structure of CdHgMo2Ir.

Lattice parameters (Å, degrees): 4.8286 4.8286 5.1881 90.00 90.00 90.00
Last column: nearest neighbours and their distance in Å.
Positions (direct):
Cd  0.0000  0.0000  0.0000  4 Hg 3.41, 8 Mo 3.54
Hg  0.5000  0.5000  0.0000  2 Ir 2.59
Mo  0.0000  0.5000  0.5000  2 Ir 2.41
Mo  0.5000  0.0000  0.5000  2 Ir 2.41
Ir  0.5000  0.5000  0.5000  4 Mo 2.41, 2 Hg 2.59

Values from the calculation:
Space-group type: P4/mmm
E_form in eV per formula unit: 6.40

Record 5
## CdHg2IrN (PBE-GGA)

Data for an optimized crystal structure of CdHg2IrN.

Lattice parameters (Å, degrees): 4.6053 4.6053 4.3723 90.00 90.00 90.00
Last column: nearest neighbours and their distance in Å.
Positions (direct):
Cd  0.0000  0.0000  0.0000  2 N 2.19
Hg  0.0000  0.5000  0.5000  2 N 2.30
Hg  0.5000  0.0000  0.5000  2 N 2.30
Ir  0.5000  0.5000  0.0000  8 Hg 3.18, 4 Cd 3.26
N  0.0000  0.0000  0.5000  2 Cd 2.19, 4 Hg 2.30

Values from the calculation:
Space-group type: P4/mmm
E_form (uncorrected) in kJ/mol of atoms: 105.2

Record 6
## Cd2HgIrN (PBE-GGA)

Data for an optimized crystal structure of Cd2HgIrN.

Lattice parameters (Å, degrees): 5.4497 5.4497 3.7191 90.00 90.00 90.00
Last column: nearest neighbours and their distance in Å.
Positions (direct):
Cd  0.0000  0.5000  0.0000  2 Ir 2.72
Cd  0.5000  0.0000  0.0000  2 Ir 2.72
Hg  0.0000  0.0000  0.5000  8 Cd 3.30
Ir  0.5000  0.5000  0.0000  2 N 1.86
N  0.5000  0.5000  0.5000  2 Ir 1.86

Values from the calculation:
Space-group type: P4/mmm
E_form (uncorrected) in kJ/mol of atoms: 19.3

Record 7
## NdCdHgIr (PBE-GGA)

Data for an optimized crystal structure of NdCdHgIr.

Lattice parameters (Å, degrees): 7.0785 7.0785 7.0785 90.00 90.00 90.00
Last column: nearest neighbours and their distance in Å.
Positions (direct):
Nd  0.0000  0.0000  0.0000  4 Ir 3.07, 4 Hg 3.07
Nd  0.0000  0.5000  0.5000  4 Hg 3.07, 4 Ir 3.07
Nd  0.5000  0.0000  0.5000  4 Hg 3.07, 4 Ir 3.07
Nd  0.5000  0.5000  0.0000  4 Hg 3.07, 4 Ir 3.07
Cd  0.0000  0.0000  0.5000  4 Hg 3.07, 4 Ir 3.07
Cd  0.0000  0.5000  0.0000  4 Hg 3.07, 4 Ir 3.07
Cd  0.5000  0.0000  0.0000  4 Hg 3.07, 4 Ir 3.07
Cd  0.5000  0.5000  0.5000  4 Hg 3.07, 4 Ir 3.07
Hg  0.2500  0.2500  0.7500  4 Nd 3.07, 4 Cd 3.07
Hg  0.2500  0.7500  0.2500  4 Cd 3.07, 4 Nd 3.07
Hg  0.7500  0.2500  0.2500  4 Cd 3.07, 4 Nd 3.07
Hg  0.7500  0.7500  0.7500  4 Cd 3.07, 4 Nd 3.07
Ir  0.2500  0.2500  0.2500  4 Cd 3.07, 4 Nd 3.07
Ir  0.2500  0.7500  0.7500  4 Cd 3.07, 4 Nd 3.07
Ir  0.7500  0.2500  0.7500  4 Cd 3.07, 4 Nd 3.07
Ir  0.7500  0.7500  0.2500  4 Cd 3.07, 4 Nd 3.07

Values from the calculation:
Space-group type: F-43m
E_form in eV per formula unit: -0.76

Record 8
## CdHg2IrO6 (PBE-GGA)

Data for an optimized crystal structure of CdHg2IrO6.

Lattice parameters (Å, degrees): 5.7573 5.7573 5.7573 60.17 60.17 60.17
Last column: nearest neighbours and their distance in Å.
Positions (direct):
Cd  0.0000  0.0000  0.0000  6 O 2.33
Hg  0.2483  0.2483  0.2483  3 O 2.26
Hg  0.7517  0.7517  0.7517  3 O 2.26
Ir  0.5000  0.5000  0.5000  6 O 1.95
O  0.1642  0.3853  0.7123  1 Ir 1.95
O  0.2877  0.8358  0.6147  1 Ir 1.95
O  0.3853  0.7123  0.1642  1 Ir 1.95
O  0.6147  0.2877  0.8358  1 Ir 1.95
O  0.7123  0.1642  0.3853  1 Ir 1.95
O  0.8358  0.6147  0.2877  1 Ir 1.95

Values from the calculation:
Space-group type: R-3
E_form (uncorrected) in kJ/mol of atoms: -48.9

| no. | Fermi-level density of states (states/eV per cell) |
| --- | --- |
| 1 | 2.127 |
| 2 | 4.654 |
| 3 | 7.805 |
| 4 | 4.871 |
| 5 | 2.394 |
| 6 | 2.088 |
| 7 | 11.239 |
| 8 | 6.107 |